Entry 1:
# Ca2ZnAu2

A geometry-optimized Ca2ZnAu2 structure (PBE, Alexandria via LeMat-Bulk).

Values from the calculation:
E   -2.991 eV per atom
DOS(E_F)   4.36 states/eV per cell

Cell lengths 7.595, 7.595, 4.161 Å; angles 90.00, 90.00, 90.00 degrees
Sites, in units of the cell vectors:
Zn1 0.500 0.500 0.000
Zn2 0.000 0.000 0.000
Ca1 0.669 0.831 0.500
Ca2 0.169 0.669 0.500
Ca3 0.831 0.331 0.500
Ca4 0.331 0.169 0.500
Au1 0.635 0.135 0.000
Au2 0.865 0.635 0.000
Au3 0.365 0.865 0.000
Au4 0.135 0.365 0.000

Entry 2:
# Ca3Zn4Au2

A geometry-optimized Ca3Zn4Au2 structure (PBE, Alexandria via LeMat-Bulk).

Values from the calculation:
E   -2.451 eV per atom
DOS(E_F)   4.51 states/eV per cell

Cell lengths 4.505, 5.914, 8.807 Å; angles 69.53, 75.18, 67.61 degrees
Sites, in units of the cell vectors:
Zn1 0.958 0.703 0.381
Zn2 0.042 0.297 0.619
Zn3 0.276 0.396 0.053
Zn4 0.724 0.604 0.947
Ca1 0.326 0.689 0.659
Ca2 0.000 0.000 0.000
Ca3 0.674 0.311 0.341
Au1 0.396 0.938 0.270
Au2 0.604 0.062 0.730

Entry 3:
# Ca3Zn3Au2

A geometry-optimized Ca3Zn3Au2 structure (PBE, Alexandria via LeMat-Bulk).

Values from the calculation:
E   -2.572 eV per atom
DOS(E_F)   9.23 states/eV per cell

Cell lengths 4.494, 5.800, 15.369 Å; angles 90.00, 90.00, 112.80 degrees
Sites, in units of the cell vectors:
Zn1 0.385 0.770 0.536
Zn2 0.615 0.230 0.036
Zn3 0.615 0.230 0.464
Zn4 0.662 0.323 0.750
Zn5 0.338 0.677 0.250
Zn6 0.385 0.770 0.964
Au1 0.795 0.591 0.896
Au2 0.205 0.409 0.104
Au3 0.795 0.591 0.604
Au4 0.205 0.409 0.396
Ca1 0.912 0.823 0.394
Ca2 0.630 0.259 0.250
Ca3 0.088 0.177 0.606
Ca4 0.088 0.177 0.894
Ca5 0.912 0.823 0.106
Ca6 0.370 0.741 0.750

Entry 4:
# Ca2Zn5Au4

A geometry-optimized Ca2Zn5Au4 structure (PBE, Alexandria via LeMat-Bulk).

Values from the calculation:
E   -2.590 eV per atom
DOS(E_F)   4.60 states/eV per cell

Cell lengths 5.474, 5.407, 9.058 Å; angles 81.20, 72.41, 59.59 degrees
Sites, in units of the cell vectors:
Au1 0.211 0.321 0.258
Au2 0.789 0.679 0.742
Au3 0.468 0.321 0.742
Au4 0.532 0.679 0.258
Ca1 0.134 0.000 0.732
Ca2 0.866 0.000 0.268
Zn1 0.500 0.000 0.000
Zn2 0.250 0.500 0.500
Zn3 0.750 0.500 0.500
Zn4 0.000 0.500 0.000
Zn5 0.500 0.500 0.000